[1]
Density functional theory data (PBE) for crystalline AcYMgGa at its relaxed geometry.

Unit cell a=5.448 b=5.448 c=5.448 alpha=60.00 beta=60.00 gamma=60.00
Positions (direct):
1 Ac 0.000 0.000 0.000
2 Y 0.500 0.500 0.500
3 Mg 0.250 0.250 0.250
4 Ga 0.750 0.750 0.750

Results
Energy of formation from the pure elements, meV/atom: -267.8
Raw total energy, eV/atom: -4.07

***

[2]
Density functional theory data (PBE) for crystalline Ac3MgZn6Ga2 at its relaxed geometry.

Unit cell a=6.414 b=6.414 c=8.487 alpha=90.00 beta=90.00 gamma=120.00
Positions (direct):
1 Ac 0.000 0.000 0.000
2 Ac 0.333 0.667 0.666
3 Ac 0.667 0.333 0.334
4 Mg 0.000 0.000 0.500
5 Zn 0.194 0.388 0.306
6 Zn 0.194 0.806 0.306
7 Zn 0.388 0.194 0.694
8 Zn 0.612 0.806 0.306
9 Zn 0.806 0.194 0.694
10 Zn 0.806 0.612 0.694
11 Ga 0.333 0.667 0.050
12 Ga 0.667 0.333 0.950

Results
Energy of formation from the pure elements, meV/atom: -158.5
Raw total energy, eV/atom: -2.46

***

[3]
Density functional theory data (PBE) for crystalline Ac2Mg4Zn3Ga at its relaxed geometry.

Unit cell a=4.781 b=4.781 c=10.763 alpha=90.00 beta=90.00 gamma=90.00
Positions (direct):
1 Ac 0.000 0.500 0.235
2 Ac 0.500 0.000 0.765
3 Mg 0.000 0.000 0.500
4 Mg 0.000 0.500 0.874
5 Mg 0.500 0.000 0.126
6 Mg 0.500 0.500 0.500
7 Zn 0.000 0.000 0.000
8 Zn 0.000 0.500 0.630
9 Zn 0.500 0.000 0.370
10 Ga 0.500 0.500 0.000

Results
Energy of formation from the pure elements, meV/atom: -212.0
Raw total energy, eV/atom: -2.36